DFT (PBE+U) results for a relaxed structure of KMoRhO4.

Cell lengths 6.640, 5.870, 7.090 Å; angles 90.00, 109.89, 90.00 degrees
Space group P2_1/m (No. 11)
One atom of each set of equivalent atoms:
K 0.229 0.250 0.005 x2
Mo 0.227 0.750 0.642 x2
Rh 0.196 0.250 0.520 x2
O 0.038 0.750 0.782 x2
O 0.095 0.750 0.368 x2
O 0.403 0.504 0.730 x4

For the final energy, the calculation gives -6.163 eV per atom. Its crystal system is monoclinic.